--- one ---
The following is a DFT calculation (GGA-PBEsol) of a geometry-optimized TeIN2F structure.

a b c (Å): 4.2523 4.6841 4.6841
angles (deg): 90.00 90.00 90.00
With the nearest neighbours (Å) after each atom.
Sites, in units of the cell vectors:
1 I 0.5000 0.0000 0.0000  2 F 2.13
2 N 0.0000 0.0000 0.5000  2 F 2.34
3 N 0.0000 0.5000 0.0000  2 F 2.34
4 Te 0.5000 0.5000 0.5000  8 N 3.16, 4 I 3.31
5 F 0.0000 0.0000 0.0000  2 I 2.13, 4 N 2.34

Properties
- DOS at the Fermi energy (states/eV/f.u.) = 3.2


--- two ---
The following is a DFT calculation (GGA-PBEsol) of a geometry-optimized TeIN2F structure.

a b c (Å): 3.8633 3.8633 6.3893
angles (deg): 90.00 90.00 90.00
With the nearest neighbours (Å) after each atom.
Sites, in units of the cell vectors:
1 I 0.0000 0.0000 0.0000  4 N 1.93
2 N 0.0000 0.5000 0.0000  2 I 1.93
3 N 0.5000 0.0000 0.0000  2 I 1.93
4 Te 0.0000 0.0000 0.5000  4 F 2.73
5 F 0.5000 0.5000 0.5000  4 Te 2.73

Properties
- DOS at the Fermi energy (states/eV/f.u.) = 2.9


Quick look at relative energies in eV/atom: one 0.528; two 0.000.


--- one ---
The following is a DFT calculation (GGA-PBEsol) of a geometry-optimized IOF3 structure.

a b c (Å): 4.0001 4.0001 4.0001
angles (deg): 90.00 90.00 90.00
With the nearest neighbours (Å) after each atom.
Sites, in units of the cell vectors:
1 F 0.0000 0.5000 0.5000  2 O 2.00
2 F 0.5000 0.0000 0.5000  2 O 2.00
3 F 0.5000 0.5000 0.0000  2 O 2.00
4 I 0.0000 0.0000 0.0000  12 F 2.83
5 O 0.5000 0.5000 0.5000  6 F 2.00

Properties
- DOS at the Fermi energy (states/eV/f.u.) = 3.7


--- two ---
The following is a DFT calculation (GGA-PBEsol) of a geometry-optimized IOF3 structure.

a b c (Å): 5.1181 5.4929 10.9703
angles (deg): 90.00 90.00 90.00
With the nearest neighbours (Å) after each atom.
Sites, in units of the cell vectors:
1 F 0.4700 0.7909 0.2782  1 I 1.96
2 F 0.0300 0.2091 0.7782  1 I 1.96
3 F 0.5300 0.2909 0.2218  1 I 1.96
4 F 0.9700 0.7091 0.7218  1 I 1.96
5 F 0.2011 0.3722 0.5362  1 I 1.95
6 F 0.2989 0.6278 0.0362  1 I 1.95
7 F 0.7989 0.8722 0.9638  1 I 1.95
8 F 0.7011 0.1278 0.4638  1 I 1.95
9 F 0.0605 0.5029 0.3134  1 I 1.89
10 F 0.4395 0.4971 0.8134  1 I 1.89
11 F 0.9395 0.0029 0.1866  1 I 1.89
12 F 0.5605 0.9971 0.6866  1 I 1.89
13 I 0.3569 0.5739 0.4098  1 O 1.81, 3 F 1.89-1.96
14 I 0.1431 0.4261 0.9098  1 O 1.81, 3 F 1.89-1.96
15 I 0.6431 0.0739 0.0902  1 O 1.81, 3 F 1.89-1.96
16 I 0.8569 0.9261 0.5902  1 O 1.81, 3 F 1.89-1.96
17 O 0.2017 0.8388 0.4760  1 I 1.81
18 O 0.2983 0.1612 0.9760  1 I 1.81
19 O 0.7983 0.3388 0.0240  1 I 1.81
20 O 0.7017 0.6612 0.5240  1 I 1.81

Properties
- DOS at the Fermi energy (states/eV/f.u.) = 0.0


Quick look at relative energies in eV/atom: one 1.620; two 0.000.


--- one ---
The following is a DFT calculation (GGA-PBEsol) of a geometry-optimized YIOF2 structure.

a b c (Å): 3.9693 5.0463 5.0463
angles (deg): 90.00 90.00 90.00
With the nearest neighbours (Å) after each atom.
Sites, in units of the cell vectors:
1 I 0.0000 0.0000 0.0000  2 O 1.98
2 Y 0.5000 0.5000 0.5000  8 F 3.21, 4 O 3.57
3 O 0.5000 0.0000 0.0000  2 I 1.98
4 F 0.0000 0.0000 0.5000  2 I 2.52
5 F 0.0000 0.5000 0.0000  2 I 2.52

Properties
- DOS at the Fermi energy (states/eV/f.u.) = 3.6


--- two ---
The following is a DFT calculation (GGA-PBEsol) of a geometry-optimized YIOF2 structure.

a b c (Å): 4.2608 4.2608 4.7372
angles (deg): 90.00 90.00 90.00
With the nearest neighbours (Å) after each atom.
Sites, in units of the cell vectors:
1 I 0.5000 0.5000 0.5000  4 O 3.01, 8 F 3.19
2 Y 0.0000 0.0000 0.0000  4 F 2.13, 2 O 2.37
3 O 0.0000 0.0000 0.5000  2 Y 2.37
4 F 0.0000 0.5000 0.0000  2 Y 2.13
5 F 0.5000 0.0000 0.0000  2 Y 2.13

Properties
- DOS at the Fermi energy (states/eV/f.u.) = 1.8


Quick look at relative energies in eV/atom: one 1.635; two 0.000.


--- one ---
The following is a DFT calculation (GGA-PBEsol) of a geometry-optimized PbIF2 structure.

a b c (Å): 3.7053 3.7053 10.1566
angles (deg): 79.49 79.49 60.00
With the nearest neighbours (Å) after each atom.
Sites, in units of the cell vectors:
1 Pb 0.5000 0.5000 0.5000  6 F 2.43
2 I 0.0000 0.0000 0.0000  6 I 3.71, 2 F 3.81
3 F 0.8722 0.8722 0.3834  3 Pb 2.43
4 F 0.1278 0.1278 0.6166  3 Pb 2.43

Properties
- DOS at the Fermi energy (states/eV/f.u.) = 1.6


--- two ---
The following is a DFT calculation (GGA-PBEsol) of a geometry-optimized PbIF2 structure.

a b c (Å): 7.1751 7.0137 7.1751
angles (deg): 59.24 90.00 120.76
With the nearest neighbours (Å) after each atom.
Sites, in units of the cell vectors:
1 Pb 0.7500 0.5000 0.7500  4 F 2.26
2 Pb 0.0000 0.0000 0.0000  4 F 2.26
3 I 0.2500 0.5000 0.2500  4 F 3.64
4 I 0.5000 0.0000 0.5000  4 F 3.64
5 F 0.7829 0.7500 0.3750  2 Pb 2.26
6 F 0.9671 0.7500 0.8750  2 Pb 2.26
7 F 0.8750 0.2500 0.7829  2 Pb 2.26
8 F 0.3750 0.2500 0.9671  2 Pb 2.26

Properties
- DOS at the Fermi energy (states/eV/f.u.) = 3.1


Quick look at relative energies in eV/atom: one 0.000; two 0.167.